[1]
# TeSe3

A relaxed TeSe3 crystal (PBE, Alexandria).

Calculated values
size of the total moment	0.00	μB/f.u.
crystal system	hexagonal
uncorrected energy	-3.0963	eV per atom

a = 3.7450 Å, b = 3.7450 Å, c = 8.0161 Å
α = 90.00°, β = 90.00°, γ = 120.00°
Space group P-6m2 (No. 187)
Unique sites:
1 Te 0.0000 0.0000 0.0000
2 Se 0.0000 0.0000 0.5000
3 Se 0.3333 0.6667 0.2594

[2]
# Te5Se

A relaxed Te5Se crystal (PBE, Alexandria).

Calculated values
size of the total moment	0.00	μB/f.u.
crystal system	cubic
uncorrected energy	-2.6034	eV per atom

a = 8.855 Å, b = 8.855 Å, c = 8.855 Å
α = 90.00°, β = 90.00°, γ = 90.00°
Space group F-43m (No. 216)
Unique sites:
1 Te 0.000 0.000 0.000
2 Te 0.125 0.125 0.625
3 Se 0.250 0.250 0.250

[3]
# TeSe3

A relaxed TeSe3 crystal (PBE, Alexandria).

Calculated values
size of the total moment	0.00	μB/f.u.
crystal system	orthorhombic
uncorrected energy	-3.2495	eV per atom

a = 3.936 Å, b = 4.291 Å, c = 6.969 Å
α = 90.00°, β = 90.00°, γ = 90.00°
Space group Pmm2 (No. 25)
Unique sites:
1 Te 0.000 0.000 0.000
2 Se 0.000 0.500 0.527
3 Se 0.500 0.000 0.250
4 Se 0.500 0.500 0.740

[4]
# TeSe3

A relaxed TeSe3 crystal (PBE, Alexandria).

Calculated values
size of the total moment	0.00	μB/f.u.
crystal system	orthorhombic
uncorrected energy	-3.0450	eV per atom

a = 4.378 Å, b = 4.728 Å, c = 10.230 Å
α = 90.00°, β = 90.00°, γ = 90.00°
Space group Immm (No. 71)
Unique sites:
1 Te 0.000 0.000 0.000
2 Se 0.000 0.000 0.500
3 Se 0.000 0.500 0.167

[5]
# Te4Se

A relaxed Te4Se crystal (PBE, Alexandria).

Calculated values
size of the total moment	0.00	μB/f.u.
crystal system	tetragonal
uncorrected energy	-2.9825	eV per atom

a = 6.051 Å, b = 6.051 Å, c = 9.227 Å
α = 90.00°, β = 90.00°, γ = 90.00°
Space group I4/mmm (No. 139)
Unique sites:
1 Te 0.000 0.000 0.196
2 Te 0.000 0.500 0.250
3 Se 0.000 0.000 0.500

[6]
# Te17Se12

A relaxed Te17Se12 crystal (PBE, Alexandria).

Calculated values
size of the total moment	0.00	μB/f.u.
crystal system	triclinic
uncorrected energy	-3.2031	eV per atom

a = 10.848 Å, b = 11.355 Å, c = 11.588 Å
α = 117.10°, β = 100.32°, γ = 104.66°
Space group P1 (No. 1)
Unique sites:
1 Te 0.000 0.000 0.000
2 Te 0.001 0.095 0.390
3 Te 0.059 0.392 0.951
4 Te 0.072 0.663 0.549
5 Te 0.090 0.653 0.311
6 Te 0.283 0.978 0.273
7 Te 0.328 0.700 0.691
8 Te 0.329 0.403 0.286
9 Te 0.349 0.721 0.018
10 Te 0.365 0.384 0.047
11 Te 0.459 0.041 0.901
12 Te 0.499 0.557 0.887
13 Te 0.505 0.944 0.574
14 Te 0.595 0.446 0.414
15 Te 0.619 0.118 0.484
16 Te 0.705 0.401 0.716
17 Te 0.727 0.898 0.683
18 Se 0.016 0.353 0.146
19 Se 0.067 0.820 0.046
20 Se 0.124 0.306 0.632
21 Se 0.190 0.958 0.456
22 Se 0.248 0.098 0.870
23 Se 0.331 0.432 0.613
24 Se 0.484 0.999 0.105
25 Se 0.535 0.708 0.179
26 Se 0.740 0.695 0.467
27 Se 0.787 0.994 0.072
28 Se 0.801 0.374 0.914
29 Se 0.864 0.214 0.288

[7]
# Te5Se

A relaxed Te5Se crystal (PBE, Alexandria).

Calculated values
size of the total moment	0.00	μB/f.u.
crystal system	hexagonal
uncorrected energy	-3.0145	eV per atom

a = 6.8886 Å, b = 6.8886 Å, c = 4.3181 Å
α = 90.00°, β = 90.00°, γ = 120.00°
Space group P-62m (No. 189)
Unique sites:
1 Te 0.0000 0.6856 0.0000
2 Te 0.3333 0.6667 0.5000
3 Se 0.0000 0.0000 0.5000

[8]
# Te4Se

A relaxed Te4Se crystal (PBE, Alexandria).

Calculated values
size of the total moment	0.00	μB/f.u.
crystal system	cubic
uncorrected energy	-2.8816	eV per atom

a = 6.858 Å, b = 6.858 Å, c = 6.858 Å
α = 90.00°, β = 90.00°, γ = 90.00°
Space group Im-3m (No. 229)
Unique sites:
1 Te 0.250 0.250 0.250
2 Se 0.000 0.000 0.000

[9]
# Te4Se

A relaxed Te4Se crystal (PBE, Alexandria).

Calculated values
size of the total moment	0.00	μB/f.u.
crystal system	tetragonal
uncorrected energy	-2.9486	eV per atom

a = 7.935 Å, b = 7.935 Å, c = 4.518 Å
α = 90.00°, β = 90.00°, γ = 90.00°
Space group I4/mmm (No. 139)
Unique sites:
1 Te 0.000 0.288 0.000
2 Se 0.000 0.000 0.500

[10]
# TeSe4

A relaxed TeSe4 crystal (PBE, Alexandria).

Calculated values
size of the total moment	0.00	μB/f.u.
crystal system	triclinic
uncorrected energy	-3.3449	eV per atom

a = 5.157 Å, b = 8.092 Å, c = 9.840 Å
α = 67.71°, β = 74.94°, γ = 71.56°
Space group P1 (No. 1)
Unique sites:
1 Te 0.000 0.000 0.000
2 Te 0.376 0.500 0.500
3 Se 0.011 0.338 0.942
4 Se 0.087 0.839 0.442
5 Se 0.170 0.371 0.344
6 Se 0.293 0.005 0.209
7 Se 0.490 0.870 0.844
8 Se 0.709 0.108 0.762
9 Se 0.795 0.608 0.262
10 Se 0.870 0.506 0.709

[11]
# TeSe3

A relaxed TeSe3 crystal (PBE, Alexandria).

Calculated values
size of the total moment	0.00	μB/f.u.
crystal system	orthorhombic
uncorrected energy	-3.1509	eV per atom

a = 10.001 Å, b = 13.635 Å, c = 3.694 Å
α = 90.00°, β = 90.00°, γ = 90.00°
Space group Cmcm (No. 63)
Unique sites:
1 Te 0.000 0.077 0.250
2 Se 0.000 0.440 0.250
3 Se 0.117 0.263 0.750

[12]
# TeSe3

A relaxed TeSe3 crystal (PBE, Alexandria).

Calculated values
size of the total moment	0.00	μB/f.u.
crystal system	monoclinic
uncorrected energy	-3.2804	eV per atom

a = 5.034 Å, b = 4.165 Å, c = 5.065 Å
α = 90.00°, β = 109.38°, γ = 90.00°
Space group P2/m (No. 10)
Unique sites:
1 Te 0.000 0.000 0.000
2 Se 0.251 0.500 0.749
3 Se 0.500 0.000 0.500

[13]
# TeSe3

A relaxed TeSe3 crystal (PBE, Alexandria).

Calculated values
size of the total moment	0.00	μB/f.u.
crystal system	orthorhombic
uncorrected energy	-3.2618	eV per atom

a = 3.901 Å, b = 8.645 Å, c = 7.123 Å
α = 90.00°, β = 90.00°, γ = 90.00°
Space group Pmmn (No. 59, origin choice 2)
Unique sites:
1 Te 0.250 0.250 0.165
2 Se 0.250 0.509 0.606
3 Se 0.250 0.750 0.083

[14]
# TeSe3

A relaxed TeSe3 crystal (PBE, Alexandria).

Calculated values
size of the total moment	0.33	μB/f.u.
crystal system	cubic
uncorrected energy	-2.7427	eV per atom

a = 5.432 Å, b = 5.432 Å, c = 5.432 Å
α = 90.00°, β = 90.00°, γ = 90.00°
Space group Pm-3m (No. 221)
Unique sites:
1 Te 0.000 0.000 0.000
2 Se 0.000 0.000 0.500

[15]
# TeSe4

A relaxed TeSe4 crystal (PBE, Alexandria).

Calculated values
size of the total moment	0.00	μB/f.u.
crystal system	cubic
uncorrected energy	-2.8537	eV per atom

a = 6.550 Å, b = 6.550 Å, c = 6.550 Å
α = 90.00°, β = 90.00°, γ = 90.00°
Space group Im-3m (No. 229)
Unique sites:
1 Te 0.000 0.000 0.000
2 Se 0.250 0.250 0.250

[16]
# Te5Se4

A relaxed Te5Se4 crystal (PBE, Alexandria).

Calculated values
size of the total moment	0.00	μB/f.u.
crystal system	tetragonal
uncorrected energy	-3.1235	eV per atom

a = 12.277 Å, b = 12.277 Å, c = 4.048 Å
α = 90.00°, β = 90.00°, γ = 90.00°
Space group I4/mmm (No. 139)
Unique sites:
1 Te 0.000 0.000 0.000
2 Te 0.184 0.184 0.500
3 Se 0.000 0.227 0.000

[17]
# TeSe3

A relaxed TeSe3 crystal (PBE, Alexandria).

Calculated values
size of the total moment	0.00	μB/f.u.
crystal system	hexagonal
uncorrected energy	-3.1175	eV per atom

a = 7.5865 Å, b = 7.5865 Å, c = 3.9751 Å
α = 90.00°, β = 90.00°, γ = 120.00°
Space group P6_3/mmc (No. 194)
Unique sites:
1 Te 0.3333 0.6667 0.2500
2 Se 0.1704 0.3408 0.7500

[18]
# TeSe3

A relaxed TeSe3 crystal (PBE, Alexandria).

Calculated values
size of the total moment	0.00	μB/f.u.
crystal system	tetragonal
uncorrected energy	-2.9071	eV per atom

a = 3.558 Å, b = 3.558 Å, c = 7.036 Å
α = 90.00°, β = 90.00°, γ = 90.00°
Space group P4/mmm (No. 123)
Unique sites:
1 Te 0.000 0.000 0.000
2 Se 0.000 0.000 0.500
3 Se 0.500 0.500 0.255

[19]
# TeSe3

A relaxed TeSe3 crystal (PBE, Alexandria).

Calculated values
size of the total moment	0.00	μB/f.u.
crystal system	orthorhombic
uncorrected energy	-3.2402	eV per atom

a = 4.200 Å, b = 7.831 Å, c = 7.020 Å
α = 90.00°, β = 90.00°, γ = 90.00°
Space group Imm2 (No. 44)
Unique sites:
1 Te 0.000 0.000 0.000
2 Se 0.000 0.259 0.749
3 Se 0.000 0.500 0.973

[20]
# TeSe3

A relaxed TeSe3 crystal (PBE, Alexandria).

Calculated values
size of the total moment	0.00	μB/f.u.
crystal system	cubic
uncorrected energy	-2.7863	eV per atom

a = 4.466 Å, b = 4.466 Å, c = 4.466 Å
α = 90.00°, β = 90.00°, γ = 90.00°
Space group Pm-3m (No. 221)
Unique sites:
1 Te 0.000 0.000 0.000
2 Se 0.000 0.500 0.500

[21]
# TeSe4

A relaxed TeSe4 crystal (PBE, Alexandria).

Calculated values
size of the total moment	2.45	μB/f.u.
crystal system	cubic
uncorrected energy	-2.5960	eV per atom

a = 5.376 Å, b = 5.376 Å, c = 5.376 Å
α = 90.00°, β = 90.00°, γ = 90.00°
Space group Pm-3m (No. 221)
Unique sites:
1 Te 0.000 0.000 0.000
2 Se 0.000 0.000 0.500
3 Se 0.500 0.500 0.500

[22]
# TeSe3

A relaxed TeSe3 crystal (PBE, Alexandria).

Calculated values
size of the total moment	0.00	μB/f.u.
crystal system	trigonal
uncorrected energy	-3.2740	eV per atom

a = 4.2089 Å, b = 4.2089 Å, c = 19.5126 Å
α = 90.00°, β = 90.00°, γ = 120.00°
Space group R-3m (No. 166, hexagonal axes)
Unique sites:
1 Te 0.0000 0.0000 0.0000
2 Se 0.0000 0.0000 0.2469
3 Se 0.0000 0.0000 0.5000

[23]
# Te5Se

A relaxed Te5Se crystal (PBE, Alexandria).

Calculated values
size of the total moment	0.00	μB/f.u.
crystal system	hexagonal
uncorrected energy	-2.6978	eV per atom

a = 6.0271 Å, b = 6.0271 Å, c = 5.8596 Å
α = 90.00°, β = 90.00°, γ = 120.00°
Space group P6/mmm (No. 191)
Unique sites:
1 Te 0.0000 0.5000 0.0000
2 Te 0.3333 0.6667 0.5000
3 Se 0.0000 0.0000 0.5000

[24]
# TeSe7

A relaxed TeSe7 crystal (PBE, Alexandria).

Calculated values
size of the total moment	0.00	μB/f.u.
crystal system	cubic
uncorrected energy	-2.7765	eV per atom

a = 8.797 Å, b = 8.797 Å, c = 8.797 Å
α = 90.00°, β = 90.00°, γ = 90.00°
Space group Fm-3m (No. 225)
Unique sites:
1 Te 0.000 0.000 0.000
2 Se 0.000 0.000 0.500
3 Se 0.000 0.250 0.250

[25]
# Te8Se

A relaxed Te8Se crystal (PBE, Alexandria).

Calculated values
size of the total moment	0.00	μB/f.u.
crystal system	tetragonal
uncorrected energy	-2.7869	eV per atom

a = 10.682 Å, b = 10.682 Å, c = 4.537 Å
α = 90.00°, β = 90.00°, γ = 90.00°
Space group I4/mmm (No. 139)
Unique sites:
1 Te 0.000 0.334 0.000
2 Te 0.141 0.141 0.500
3 Se 0.000 0.000 0.000

[26]
# TeSe3

A relaxed TeSe3 crystal (PBE, Alexandria).

Calculated values
size of the total moment	0.00	μB/f.u.
crystal system	tetragonal
uncorrected energy	-3.2487	eV per atom

a = 3.777 Å, b = 3.777 Å, c = 34.266 Å
α = 90.00°, β = 90.00°, γ = 90.00°
Space group I4/mmm (No. 139)
Unique sites:
1 Te 0.000 0.000 0.111
2 Se 0.000 0.000 0.362
3 Se 0.000 0.500 0.000
4 Se 0.000 0.500 0.250